No. 1
AcPr7Er2 after structural relaxation. Source: Alexandria, functional PBE-GGA.

Calculated values
**M_tot**: 0.00 μB/atom
**Calculated volume**: 37.23 A^3/atom
**ΔH_f (0 K)**: 0.168 eV/atom
**ΔE to the lowest computed polymorph**: 0.0 meV/atom

a b c (Å): 9.701 9.701 9.701
angles (deg): 146.22 132.24 59.77
Fractional coordinates of all 10 atoms:
Ac (0.000, 0.000, 0.000)
Pr (0.069, 0.368, 0.701)
Pr (0.333, 0.632, 0.701)
Pr (0.342, 0.842, 0.500)
Pr (0.500, 0.500, 0.000)
Pr (0.658, 0.158, 0.500)
Pr (0.667, 0.368, 0.299)
Pr (0.931, 0.632, 0.299)
Er (0.214, 0.214, 0.000)
Er (0.786, 0.786, 0.000)

***

No. 2
RbYNb2Ge after structural relaxation. Source: Alexandria, functional PBE-GGA.

Calculated values
**M_tot**: 0.19 μB/atom
**Calculated volume**: 28.50 A^3/atom
**ΔH_f (0 K)**: 0.927 eV/atom

a b c (Å): 5.025 5.025 5.644
angles (deg): 90.00 90.00 90.00
Fractional coordinates of all 5 atoms:
Rb (0.000, 0.000, 0.000)
Y (0.500, 0.500, 0.000)
Nb (0.000, 0.500, 0.500)
Nb (0.500, 0.000, 0.500)
Ge (0.500, 0.500, 0.500)

***

No. 3
B5Pd3O12 after structural relaxation. Source: Alexandria, functional PBE-GGA.

Calculated values
**Raw formation energy**: -0.964 eV/atom
**M_tot**: 0.01 μB/atom
**Calculated volume**: 8.14 A^3/atom

a b c (Å): 9.458 9.458 9.458
angles (deg): 109.47 109.47 109.47
Fractional coordinates of all 80 atoms:
B (0.000, 0.000, 0.000)
B (0.000, 0.000, 0.500)
B (0.000, 0.500, 0.000)
B (0.000, 0.500, 0.500)
B (0.125, 0.750, 0.875)
B (0.125, 0.875, 0.250)
B (0.250, 0.125, 0.875)
B (0.250, 0.625, 0.375)
B (0.375, 0.250, 0.625)
B (0.375, 0.625, 0.750)
B (0.500, 0.000, 0.000)
B (0.500, 0.000, 0.500)
B (0.500, 0.500, 0.000)
B (0.500, 0.500, 0.500)
B (0.625, 0.375, 0.250)
B (0.625, 0.750, 0.375)
B (0.750, 0.375, 0.625)
B (0.750, 0.875, 0.125)
B (0.875, 0.125, 0.750)
B (0.875, 0.250, 0.125)
Pd (0.125, 0.250, 0.375)
Pd (0.125, 0.375, 0.750)
Pd (0.250, 0.375, 0.125)
Pd (0.250, 0.875, 0.625)
Pd (0.375, 0.125, 0.250)
Pd (0.375, 0.750, 0.125)
Pd (0.625, 0.250, 0.875)
Pd (0.625, 0.875, 0.750)
Pd (0.750, 0.125, 0.375)
Pd (0.750, 0.625, 0.875)
Pd (0.875, 0.625, 0.250)
Pd (0.875, 0.750, 0.625)
O (0.002, 0.189, 0.115)
O (0.002, 0.314, 0.887)
O (0.074, 0.689, 0.686)
O (0.074, 0.885, 0.387)
O (0.113, 0.615, 0.426)
O (0.113, 0.998, 0.686)
O (0.115, 0.002, 0.189)
O (0.115, 0.613, 0.926)
O (0.186, 0.189, 0.574)
O (0.186, 0.498, 0.613)
O (0.189, 0.115, 0.002)
O (0.189, 0.574, 0.186)
O (0.311, 0.314, 0.926)
O (0.311, 0.498, 0.385)
O (0.314, 0.887, 0.002)
O (0.314, 0.926, 0.311)
O (0.385, 0.311, 0.498)
O (0.385, 0.574, 0.887)
O (0.387, 0.074, 0.885)
O (0.387, 0.814, 0.502)
O (0.426, 0.113, 0.615)
O (0.426, 0.814, 0.811)
O (0.498, 0.385, 0.311)
O (0.498, 0.613, 0.186)
O (0.502, 0.387, 0.814)
O (0.502, 0.615, 0.689)
O (0.574, 0.186, 0.189)
O (0.574, 0.887, 0.385)
O (0.613, 0.186, 0.498)
O (0.613, 0.926, 0.115)
O (0.615, 0.426, 0.113)
O (0.615, 0.689, 0.502)
O (0.686, 0.074, 0.689)
O (0.686, 0.113, 0.998)
O (0.689, 0.502, 0.615)
O (0.689, 0.686, 0.074)
O (0.811, 0.426, 0.814)
O (0.811, 0.885, 0.998)
O (0.814, 0.502, 0.387)
O (0.814, 0.811, 0.426)
O (0.885, 0.387, 0.074)
O (0.885, 0.998, 0.811)
O (0.887, 0.002, 0.314)
O (0.887, 0.385, 0.574)
O (0.926, 0.115, 0.613)
O (0.926, 0.311, 0.314)
O (0.998, 0.686, 0.113)
O (0.998, 0.811, 0.885)

***

No. 4
CaZnRe2 after structural relaxation. Source: Alexandria, functional PBE-GGA.

Calculated values
**M_tot**: 0.00 μB/atom
**Calculated volume**: 17.33 A^3/atom
**ΔH_f (0 K)**: 0.434 eV/atom

a b c (Å): 9.709 9.709 9.709
angles (deg): 17.13 17.13 17.13
Fractional coordinates of all 4 atoms:
Ca (0.000, 0.000, 0.000)
Zn (0.240, 0.240, 0.240)
Re (0.496, 0.496, 0.496)
Re (0.757, 0.757, 0.757)